Record 1
A plane-wave DFT calculation with PBE-GGA was carried out for crystalline LaPm4Nd2Tm2 at its relaxed geometry.

The structure in CIF format:
```
data_LaPm4Nd2Tm2
_chemical_formula_sum 'La2 Pm8 Nd4 Tm4'
_cell_length_a 15.437
_cell_length_b 5.141
_cell_length_c 8.116
_cell_angle_alpha 90.00
_cell_angle_beta 108.53
_cell_angle_gamma 90.00
_symmetry_space_group_name_H-M 'C 1 2/m 1'
_symmetry_Int_Tables_number 12
_symmetry_space_group_name_Hall '-C 2y'
loop_
_atom_site_label
_atom_site_fract_x
_atom_site_fract_y
_atom_site_fract_z
La1 0.000 0.000 0.000
Pm1 0.056 0.500 0.332
Pm2 0.222 0.000 0.330
Nd1 0.112 0.000 0.667
Tm1 0.169 0.500 0.999
```



Record 2
A plane-wave DFT calculation with PBE-GGA was carried out for crystalline TcSbPt2 at its relaxed geometry.

Output
The value obtained for the uncorrected formation energy is 74 meV/atom.

The structure in CIF format:
```
data_TcSbPt2
_chemical_formula_sum 'Tc2 Sb2 Pt4'
_cell_length_a 4.096
_cell_length_b 2.965
_cell_length_c 11.259
_cell_angle_alpha 90.00
_cell_angle_beta 90.00
_cell_angle_gamma 90.00
_symmetry_space_group_name_H-M 'A m m 2'
_symmetry_Int_Tables_number 38
_symmetry_space_group_name_Hall 'A 2 -2'
loop_
_atom_site_label
_atom_site_fract_x
_atom_site_fract_y
_atom_site_fract_z
Tc1 0.000 0.000 0.000
Sb1 0.500 0.000 0.392
Pt1 0.000 0.000 0.243
Pt2 0.500 0.000 0.627
```



Record 3
A plane-wave DFT calculation with PBE-GGA was carried out for crystalline GdPd2Pb at its relaxed geometry.

The structure in CIF format:
```
data_GdPd2Pb
_chemical_formula_sum 'Gd1 Pd2 Pb1'
_cell_length_a 4.720
_cell_length_b 4.720
_cell_length_c 3.800
_cell_angle_alpha 90.00
_cell_angle_beta 90.00
_cell_angle_gamma 90.00
_symmetry_space_group_name_H-M 'P 4/m m m'
_symmetry_Int_Tables_number 123
_symmetry_space_group_name_Hall '-P 4 2'
loop_
_atom_site_label
_atom_site_fract_x
_atom_site_fract_y
_atom_site_fract_z
Gd1 0.000 0.000 0.000
Pd1 0.000 0.500 0.500
Pb1 0.500 0.500 0.000
```



Record 4
A plane-wave DFT calculation with PBE-GGA was carried out for crystalline ZrAg at its relaxed geometry.

The structure in CIF format:
```
data_ZrAg
_chemical_formula_sum 'Zr2 Ag2'
_cell_length_a 3.1449
_cell_length_b 3.1449
_cell_length_c 9.7447
_cell_angle_alpha 90.00
_cell_angle_beta 90.00
_cell_angle_gamma 120.00
_symmetry_space_group_name_H-M 'P -3 m 1'
_symmetry_Int_Tables_number 164
_symmetry_space_group_name_Hall '-P 3 2"'
loop_
_atom_site_label
_atom_site_fract_x
_atom_site_fract_y
_atom_site_fract_z
Zr1 0.3333 0.6667 0.3691
Ag1 0.3333 0.6667 0.8811
```



Record 5
A plane-wave DFT calculation with PBE-GGA was carried out for crystalline Pm3Dy5Y2 at its relaxed geometry.

The structure in CIF format:
```
data_Pm3Dy5Y2
_chemical_formula_sum 'Pm12 Dy20 Y8'
_cell_length_a 10.747
_cell_length_b 15.747
_cell_length_c 9.526
_cell_angle_alpha 90.00
_cell_angle_beta 124.07
_cell_angle_gamma 90.00
_symmetry_space_group_name_H-M 'C 1 2/c 1'
_symmetry_Int_Tables_number 15
_symmetry_space_group_name_Hall '-C 2yc'
loop_
_atom_site_label
_atom_site_fract_x
_atom_site_fract_y
_atom_site_fract_z
Pm1 0.000 0.232 0.250
Pm2 0.144 0.124 0.048
Dy1 0.000 0.024 0.250
Dy2 0.000 0.271 0.750
Dy3 0.000 0.470 0.750
Dy4 0.238 0.385 0.226
Y1 0.153 0.381 0.547
```



Record 6
A plane-wave DFT calculation with PBE-GGA was carried out for crystalline Pa2SnRh at its relaxed geometry.

Output
For the energy above the lowest structure with this stoichiometry, the calculation gives 399 meV per atom.

The structure in CIF format:
```
data_Pa2SnRh
_chemical_formula_sum 'Pa6 Sn3 Rh3'
_cell_length_a 3.2036
_cell_length_b 3.2036
_cell_length_c 31.8057
_cell_angle_alpha 90.00
_cell_angle_beta 90.00
_cell_angle_gamma 120.00
_symmetry_space_group_name_H-M 'R -3 m'
_symmetry_Int_Tables_number 166
_symmetry_space_group_name_Hall '-R 3 2"'
loop_
_atom_site_label
_atom_site_fract_x
_atom_site_fract_y
_atom_site_fract_z
Pa1 0.0000 0.0000 0.0788
Sn1 0.0000 0.0000 0.5000
Rh1 0.0000 0.0000 0.0000
```



Record 7
A plane-wave DFT calculation with PBE-GGA was carried out for crystalline Cs2USbSe6 at its relaxed geometry.

Output
The value obtained for the uncorrected formation energy is -862 meV/atom.

The structure in CIF format:
```
data_Cs2USbSe6
_chemical_formula_sum 'Cs12 U6 Sb6 Se36'
_cell_length_a 7.8183
_cell_length_b 7.8183
_cell_length_c 38.9583
_cell_angle_alpha 90.00
_cell_angle_beta 90.00
_cell_angle_gamma 120.00
_symmetry_space_group_name_H-M 'R -3 m'
_symmetry_Int_Tables_number 166
_symmetry_space_group_name_Hall '-R 3 2"'
loop_
_atom_site_label
_atom_site_fract_x
_atom_site_fract_y
_atom_site_fract_z
Cs1 0.0000 0.0000 0.1258
Cs2 0.0000 0.0000 0.2941
U1 0.0000 0.0000 0.4138
Sb1 0.0000 0.0000 0.0000
Sb2 0.0000 0.0000 0.5000
Se1 0.0047 0.5023 0.2897
Se2 0.0142 0.5071 0.1252
```



Record 8
A plane-wave DFT calculation with PBE-GGA was carried out for crystalline Rb5PbO5 at its relaxed geometry.

Output
The value obtained for the uncorrected formation energy is -987 meV/atom.

The structure in CIF format:
```
data_Rb5PbO5
_chemical_formula_sum 'Rb10 Pb2 O10'
_cell_length_a 12.393
_cell_length_b 5.615
_cell_length_c 7.718
_cell_angle_alpha 90.00
_cell_angle_beta 107.22
_cell_angle_gamma 90.00
_symmetry_space_group_name_H-M 'C 1 2/m 1'
_symmetry_Int_Tables_number 12
_symmetry_space_group_name_Hall '-C 2y'
loop_
_atom_site_label
_atom_site_fract_x
_atom_site_fract_y
_atom_site_fract_z
Rb1 0.000 0.000 0.000
Rb2 0.170 0.500 0.345
Rb3 0.187 0.500 0.805
Pb1 0.000 0.000 0.500
O1 0.000 0.500 0.500
O2 0.128 0.000 0.363
O3 0.135 0.000 0.773
```



Record 9
A plane-wave DFT calculation with PBE-GGA was carried out for crystalline Ac2Al5Ag12 at its relaxed geometry.

The structure in CIF format:
```
data_Ac2Al5Ag12
_chemical_formula_sum 'Ac6 Al15 Ag36'
_cell_length_a 9.6510
_cell_length_b 9.6510
_cell_length_c 14.1617
_cell_angle_alpha 90.00
_cell_angle_beta 90.00
_cell_angle_gamma 120.00
_symmetry_space_group_name_H-M 'R -3 m'
_symmetry_Int_Tables_number 166
_symmetry_space_group_name_Hall '-R 3 2"'
loop_
_atom_site_label
_atom_site_fract_x
_atom_site_fract_y
_atom_site_fract_z
Ac1 0.0000 0.0000 0.1564
Al1 0.0000 0.0000 0.4059
Al2 0.0000 0.5000 0.0000
Ag1 0.0000 0.2949 0.5000
Ag2 0.0155 0.5078 0.3486
```



Record 10
A plane-wave DFT calculation with PBE-GGA was carried out for crystalline K2YInBr6 at its relaxed geometry.

Output
The value obtained for the uncorrected formation energy is -1599 meV/atom.

The structure in CIF format:
```
data_K2YInBr6
_chemical_formula_sum 'K6 Y3 In3 Br18'
_cell_length_a 8.0912
_cell_length_b 8.0912
_cell_length_c 20.9862
_cell_angle_alpha 90.00
_cell_angle_beta 90.00
_cell_angle_gamma 120.00
_symmetry_space_group_name_H-M 'R 3'
_symmetry_Int_Tables_number 146
_symmetry_space_group_name_Hall 'R 3'
loop_
_atom_site_label
_atom_site_fract_x
_atom_site_fract_y
_atom_site_fract_z
K1 0.0000 0.0000 0.0000
K2 0.0000 0.0000 0.4891
Y1 0.0000 0.0000 0.6965
In1 0.0000 0.0000 0.2063
Br1 0.0220 0.3994 0.4356
Br2 0.0698 0.6916 0.2797
```



no.,calculated total energy (eV/atom)
1,-4.689
2,-6.568
3,-7.628
4,-5.640
5,-4.824
6,-7.634
7,-4.665
8,-4.018
9,-3.423
10,-3.743